Compound: Ce6Cd2H
Source: Alexandria via LeMat-Bulk
Functional: PBE
Structure: relaxed

The calculation puts the density of states at the Fermi level at 43.9 states/eV per cell. The uncorrected energy is -4.63 eV per atom. As for the crystal system: monoclinic.

It has space group P2_1/c (No. 14), with a = 6.661 Å, b = 6.684 Å, c = 11.752 Å, α = 90.00°, β = 124.16° and γ = 90.00°. The inequivalent atoms are Ce at (0.198, 0.209, 0.023), Ce at (0.239, 0.720, 0.009), Ce at (0.298, 0.027, 0.256), Cd at (0.229, 0.516, 0.268) and H at (0.500, 0.000, 0.500).

Compound: Ce2CdH2
Source: Alexandria via LeMat-Bulk
Functional: PBE
Structure: relaxed

The calculation puts the density of states at the Fermi level at 26.4 states/eV per cell. The uncorrected energy is -4.27 eV per atom. As for the crystal system: tetragonal.

It has space group I4/mmm (No. 139), with a = 3.972 Å, b = 3.972 Å, c = 12.129 Å, α = 90.00°, β = 90.00° and γ = 90.00°. The inequivalent atoms are Ce at (0.000, 0.000, 0.150), Cd at (0.000, 0.000, 0.500) and H at (0.000, 0.500, 0.250).